Density functional theory data (PBE) for an optimized crystal structure of Na3Sm3PuTe8.

a b c (Å): 8.962 8.962 9.188
angles (deg): 119.21 90.00 120.00
Site moments in Bohr magnetons follow the coordinates.
Positions (direct):
Na 0.000 0.000 0.000  0.00
Na 0.000 0.500 0.000  0.00
Na 0.500 0.500 0.000  0.00
Sm 0.500 0.000 0.500  0.00
Sm 0.500 0.500 0.500  0.00
Sm 0.000 0.500 0.500  0.00
Pu 0.000 0.000 0.500  4.89
Te 0.254 0.508 0.262  -0.01
Te 0.746 0.492 0.738  -0.01
Te 0.759 0.517 0.269  -0.09
Te 0.241 0.483 0.731  -0.09
Te 0.759 0.010 0.269  -0.09
Te 0.241 0.990 0.731  -0.09
Te 0.251 0.010 0.269  -0.09
Te 0.749 0.990 0.731  -0.09

Summary:
**Symmetry**: R-3m, No. 166
**Raw total energy**: -5.037 eV per atom
**Total magnetization**: 4.0 μB/f.u.